## FeCuSiIr (PBE-GGA)

Data for an optimized crystal structure of FeCuSiIr.

Geometry as POSCAR:
```
FeCuSiIr
1.0
0.0000 2.8974 2.8974
2.8974 0.0000 2.8974
2.8974 2.8974 0.0000
Fe Cu Si Ir
1 1 1 1
direct
0.0000 0.0000 0.0000
0.2500 0.2500 0.2500
0.7500 0.7500 0.7500
0.5000 0.5000 0.5000
```

Calculated values
Polymorph energy (0 for the lowest one) = 0.000 eV/atom
Space group = F-43m
Final energy = -27.137 eV per cell